# CePrNd6Dy2

A relaxed structure of CePrNd6Dy2 (PBE, Alexandria).

Unit cell a=11.367 b=6.989 c=8.992 alpha=90.00 beta=102.66 gamma=90.00
Space group C2/m (No. 12)
Inequivalent atoms, fractional coordinates:
Ce (0.000, 0.000, 0.000)
Pr (0.000, 0.500, 0.500)
Nd (0.130, 0.000, 0.417)
Nd (0.169, 0.263, 0.800)
Dy (0.093, 0.500, 0.157)

* formation energy: 0.234 eV/atom
* volume: 697.1 Å³ per cell
* final energy: -46.19 eV/f.u.
* calculated density: 7.010 Mg/m³